# Y2Mn2O7 PBE with a Hubbard U relaxed
# DFT total energy: -8.113 eV per atom
# Magnetic moment: 0.5431 μB/atom
# Space-group type: Fd-3m, No. 227
data_Y2Mn2O7
_space_group_name_H-M_alt 'P 1'
_space_group_IT_number 1
_space_group_name_Hall 'P 1'
_cell_length_a 7.110
_cell_length_b 7.110
_cell_length_c 7.110
_cell_angle_alpha 60.00
_cell_angle_beta 60.00
_cell_angle_gamma 60.00
loop_
_atom_site_label
_atom_site_type_symbol
_atom_site_fract_x
_atom_site_fract_y
_atom_site_fract_z
Mn1 Mn 0.125 0.625 0.625
Mn2 Mn 0.625 0.125 0.625
Mn3 Mn 0.625 0.625 0.125
Mn4 Mn 0.625 0.625 0.625
Y1 Y 0.625 0.125 0.125
Y2 Y 0.125 0.625 0.125
Y3 Y 0.125 0.125 0.625
Y4 Y 0.125 0.125 0.125
O1 O 0.705 0.295 0.295
O2 O 0.295 0.705 0.705
O3 O 0.705 0.295 0.705
O4 O 0.295 0.295 0.705
O5 O 0.545 0.955 0.955
O6 O 0.545 0.545 0.955
O7 O 0.955 0.545 0.955
O8 O 0.955 0.955 0.545
O9 O 0.545 0.955 0.545
O10 O 0.955 0.545 0.545
O11 O 0.295 0.705 0.295
O12 O 0.705 0.705 0.295
O13 O 0.250 0.250 0.250
O14 O 0.000 0.000 0.000

=====

# YMnO PBE with a Hubbard U relaxed
# DFT total energy: -7.044 eV per atom
# Offset from the most stable computed form: 0.8774 eV per atom
# Magnetic moment: 0.2446 μB/atom
# Space-group type: I4/mmm, No. 139
data_YMnO
_space_group_name_H-M_alt 'P 1'
_space_group_IT_number 1
_space_group_name_Hall 'P 1'
_cell_length_a 3.256
_cell_length_b 3.256
_cell_length_c 17.023
_cell_angle_alpha 90.00
_cell_angle_beta 90.00
_cell_angle_gamma 90.00
loop_
_atom_site_label
_atom_site_type_symbol
_atom_site_fract_x
_atom_site_fract_y
_atom_site_fract_z
Y1 Y 0.000 0.000 0.663
Y2 Y 0.000 0.000 0.337
Y3 Y 0.500 0.500 0.163
Y4 Y 0.500 0.500 0.837
Mn1 Mn 0.000 0.500 0.000
Mn2 Mn 0.500 0.000 0.000
Mn3 Mn 0.500 0.000 0.500
Mn4 Mn 0.000 0.500 0.500
O1 O 0.000 0.000 0.196
O2 O 0.500 0.500 0.304
O3 O 0.000 0.000 0.804
O4 O 0.500 0.500 0.696

=====

Question: What is the formula in the first record?
Answer: Y2Mn2O7

=====

Question: magnetic moment of number 1 (Y2Mn2O7)?
Answer: 0.5431 μB/atom

=====

Repeat the second record exactly.
# YMnO PBE with a Hubbard U relaxed
# DFT total energy: -7.044 eV per atom
# Offset from the most stable computed form: 0.8774 eV per atom
# Magnetic moment: 0.2446 μB/atom
# Space-group type: I4/mmm, No. 139
data_YMnO
_space_group_name_H-M_alt 'P 1'
_space_group_IT_number 1
_space_group_name_Hall 'P 1'
_cell_length_a 3.256
_cell_length_b 3.256
_cell_length_c 17.023
_cell_angle_alpha 90.00
_cell_angle_beta 90.00
_cell_angle_gamma 90.00
loop_
_atom_site_label
_atom_site_type_symbol
_atom_site_fract_x
_atom_site_fract_y
_atom_site_fract_z
Y1 Y 0.000 0.000 0.663
Y2 Y 0.000 0.000 0.337
Y3 Y 0.500 0.500 0.163
Y4 Y 0.500 0.500 0.837
Mn1 Mn 0.000 0.500 0.000
Mn2 Mn 0.500 0.000 0.000
Mn3 Mn 0.500 0.000 0.500
Mn4 Mn 0.000 0.500 0.500
O1 O 0.000 0.000 0.196
O2 O 0.500 0.500 0.304
O3 O 0.000 0.000 0.804
O4 O 0.500 0.500 0.696